1.
TaTiF3: relaxed, GGA-PBE.

## Properties
Its space group is No. 221. The energy above the most stable polymorph in this dataset is 0 meV/atom. The uncorrected formation energy is -1.079 eV per atom.

Cell lengths 4.195, 4.195, 4.195 Å; angles 90.00, 90.00, 90.00 degrees
Positions (direct):
1 Ta 0.000 0.000 0.000
2 Ti 0.500 0.500 0.500
3 F 0.000 0.500 0.500
4 F 0.500 0.000 0.500
5 F 0.500 0.500 0.000



2.
Na3SrTl: relaxed, GGA-PBE.

## Properties
Its space group is No. 221. The energy above the most stable polymorph in this dataset is 677 meV/atom. The energy relative to the elements comes out at 0.61 eV/atom.

Cell lengths 6.698, 6.698, 6.698 Å; angles 90.00, 90.00, 90.00 degrees
Positions (direct):
1 Na 0.000 0.000 0.500
2 Na 0.000 0.500 0.000
3 Na 0.500 0.000 0.000
4 Sr 0.000 0.000 0.000
5 Tl 0.500 0.500 0.500